An optimized crystal structure of Na3Mg2Tl4, computed with GGA-PBE.

Cell: 11.4318 5.3119 9.6884 Å, 90.00 123.39 90.00°
Space group C2/m (No. 12)
Symmetry-distinct sites (fractional):
Na 0.0000 0.0000 0.0000 [2 per cell]
Na 0.1612 0.5000 0.6734 [4 per cell]
Mg 0.1263 0.5000 0.2982 [4 per cell]
Tl 0.0575 0.0000 0.3817 [4 per cell]
Tl 0.2013 0.5000 0.0448 [4 per cell]

Values from the calculation:
calculated total energy = -0.14081 Ry/atom
formation energy from the elements = -70 meV per atom
magnetization = 0.00 μB/atom


An optimized crystal structure of ZnTcRh3, computed with GGA-PBE.

Cell: 4.4643 4.4643 4.4643 Å, 90.00 90.00 90.00°
Space group Pm-3m (No. 221)
Symmetry-distinct sites (fractional):
Zn 0.0000 0.0000 0.0000 [1 per cell]
Tc 0.5000 0.5000 0.5000 [1 per cell]
Rh 0.0000 0.0000 0.5000 [3 per cell]

Values from the calculation:
calculated total energy = -0.40124 Ry/atom
formation energy from the elements = 1280 meV per atom
magnetization = 0.75 μB/atom


An optimized crystal structure of TbSc5Hg6, computed with GGA-PBE.

Cell: 15.7942 7.2095 4.9995 Å, 90.00 108.17 90.00°
Space group C2/m (No. 12)
Symmetry-distinct sites (fractional):
Tb 0.0000 0.0000 0.0000 [2 per cell]
Sc 0.0000 0.5000 0.0000 [2 per cell]
Sc 0.1641 0.0000 0.6642 [4 per cell]
Sc 0.1689 0.5000 0.6691 [4 per cell]
Hg 0.0000 0.2668 0.5000 [4 per cell]
Hg 0.1707 0.2588 0.1708 [8 per cell]

Values from the calculation:
calculated total energy = -0.26491 Ry/atom
formation energy from the elements = -429 meV per atom
magnetization = 0.06 μB/atom